meta-GGA SCAN Rb2TiCl6, single point on PBEsol structure; DFT total energy = -13.743 eV/atom; total moment = 0.00 μB/atom
1.0
0.000 4.938 4.938
4.938 0.000 4.938
4.938 4.938 0.000
Rb Ti Cl
2 1 6
Direct
0.250 0.250 0.250 Rb
0.750 0.750 0.750 Rb
0.000 0.000 0.000 Ti
0.237 0.237 0.763 Cl
0.237 0.763 0.237 Cl
0.237 0.763 0.763 Cl
0.763 0.237 0.237 Cl
0.763 0.237 0.763 Cl
0.763 0.763 0.237 Cl